1.
Below is a geometry-optimized Tb2ErHg structure, with properties calculated at the PBE level.

Lattice parameters (Å, degrees): 5.399 5.399 5.399 60.00 60.00 60.00
Element x y z (fractional)
Tb1 0.250 0.250 0.250
Tb2 0.750 0.750 0.750
Er1 0.000 0.000 0.000
Hg1 0.500 0.500 0.500

Summary:
* calculated formation energy: -0.0588 eV/atom
* N(E_F): 5.088 states/eV/cell
* energy above the lowest structure with this stoichiometry: 162.7 meV per atom
* E_tot: -3.590 eV/atom
* M_tot: 0.00 μB per cell
* calculated density: 10.23 g/cm³
* space-group type: Fm-3m

2.
Below is a geometry-optimized Tb6Er2Hg structure, with properties calculated at the PBE level.

Lattice parameters (Å, degrees): 9.459 9.459 9.459 158.49 115.57 68.78
Element x y z (fractional)
Tb1 0.018 0.179 0.839
Tb2 0.290 0.500 0.790
Tb3 0.340 0.179 0.161
Tb4 0.660 0.821 0.839
Tb5 0.710 0.500 0.210
Tb6 0.982 0.821 0.161
Er1 0.350 0.850 0.500
Er2 0.650 0.150 0.500
Hg1 0.000 0.000 0.000

Summary:
* calculated formation energy: -0.0020 eV/atom
* N(E_F): 10.499 states/eV/cell
* E_tot: -4.136 eV/atom
* M_tot: 0.00 μB per cell
* calculated density: 8.89 g/cm³
* space-group type: Immm

3.
Below is a geometry-optimized Tb3Er4Hg4 structure, with properties calculated at the PBE level.

Lattice parameters (Å, degrees): 9.409 9.409 9.409 148.23 134.88 56.24
Element x y z (fractional)
Tb1 0.000 0.000 0.000
Tb2 0.397 0.897 0.500
Tb3 0.603 0.103 0.500
Er1 0.054 0.322 0.732
Er2 0.410 0.678 0.732
Er3 0.590 0.322 0.268
Er4 0.946 0.678 0.268
Hg1 0.187 0.187 0.000
Hg2 0.293 0.500 0.793
Hg3 0.707 0.500 0.207
Hg4 0.813 0.813 0.000

Summary:
* calculated formation energy: -0.2600 eV/atom
* N(E_F): 7.435 states/eV/cell
* E_tot: -3.292 eV/atom
* M_tot: 0.00 μB per cell
* calculated density: 10.48 g/cm³
* space-group type: Immm

4.
Below is a geometry-optimized TbErHgTe structure, with properties calculated at the PBE level.

Lattice parameters (Å, degrees): 8.138 8.138 8.138 29.42 29.42 29.42
Element x y z (fractional)
Tb1 0.000 0.000 0.000
Er1 0.502 0.502 0.502
Hg1 0.250 0.250 0.250
Te1 0.752 0.752 0.752

Summary:
* N(E_F): 1.988 states/eV/cell
* formation energy from raw total energies: -0.8494 eV/atom
* E_tot: -4.009 eV/atom
* M_tot: 0.00 μB per cell
* calculated density: 9.44 g/cm³
* space-group type: R3m

Repeat the fourth record exactly.
Below is a geometry-optimized TbErHgTe structure, with properties calculated at the PBE level.

Lattice parameters (Å, degrees): 8.138 8.138 8.138 29.42 29.42 29.42
Element x y z (fractional)
Tb1 0.000 0.000 0.000
Er1 0.502 0.502 0.502
Hg1 0.250 0.250 0.250
Te1 0.752 0.752 0.752

Summary:
* N(E_F): 1.988 states/eV/cell
* formation energy from raw total energies: -0.8494 eV/atom
* E_tot: -4.009 eV/atom
* M_tot: 0.00 μB per cell
* calculated density: 9.44 g/cm³
* space-group type: R3m